# 1
Crystalline NdGaAg at its relaxed geometry, computed with PBE-GGA.

POSCAR file:
```
NdGaAg
1.0
4.7763 0.0000 0.0000
2.3882 4.1364 0.0000
2.3882 1.3788 3.8999
Nd Ag Ga
1 1 1
Cartesian
4.7763 2.7576 1.9499 Nd
2.3882 1.3788 0.9750 Ag
0.0000 0.0000 0.0000 Ga
```

The calculation puts the electronic total energy at -11.408 eV for the cell shown.

# 2
Crystalline K3Er3AlS8 at its relaxed geometry, computed with PBE-GGA.

POSCAR file:
```
K3Er3AlS8
1.0
7.7664 -0.0001 -0.0003
-3.8833 6.7318 -0.0289
-0.0002 -4.4596 7.5726
S K Er Al
8 3 3 1
Cartesian
-0.0001 2.2520 2.2464 S
3.8830 0.0201 5.2970 S
-2.0899 3.4708 5.1693 S
-0.0002 -0.1509 5.1848 S
2.0892 3.4707 5.1694 S
5.9728 -1.1986 2.3741 S
1.7937 -1.1985 2.3740 S
3.8831 2.4230 2.3586 S
-1.9416 3.3659 -0.0145 K
1.9416 3.3659 -0.0146 K
0.0000 0.0000 0.0000 K
1.9415 1.1361 3.7717 Er
-1.9417 1.1361 3.7718 Er
3.8831 -2.2299 3.7862 Er
-0.0001 -2.2298 3.7863 Al
```

For the uncorrected formation energy, the calculation gives -1.59 eV per atom. The calculation puts the electronic total energy at -77.541 eV for the cell shown.

# 3
Crystalline KPuCuTe3 at its relaxed geometry, computed with PBE-GGA.

POSCAR file:
```
KPuCuTe3
1.0
4.3429 0.0000 0.0000
0.0000 9.7604 0.7091
0.0000 -3.9832 9.3876
Cu Te K Pu
2 6 2 2
Cartesian
1.0857 -1.5772 5.5985 Cu
3.2572 7.3544 4.4981 Cu
3.2572 3.8332 1.8553 Te
3.2572 8.1522 1.9629 Te
3.2572 -0.1073 5.1104 Te
1.0857 -2.3750 8.1338 Te
1.0857 1.9440 8.2413 Te
1.0857 5.8845 4.9862 Te
3.2572 4.7643 7.6925 K
1.0857 1.0129 2.4041 K
3.2572 -0.2395 8.1474 Pu
1.0857 6.0167 1.9492 Pu
```

For the uncorrected formation energy, the calculation gives -0.77 eV per atom. The calculation puts the electronic total energy at -67.124 eV for the cell shown.

# 4
Crystalline KCuHg2 at its relaxed geometry, computed with PBE-GGA.

POSCAR file:
```
KCuHg2
1.0
-3.6689 -2.1441 -1.9695
0.1027 -0.9930 -4.5760
1.3404 -6.5436 -0.9502
Hg K Cu
2 1 1
Cartesian
-3.3066 -3.7002 -6.4186 Hg
-1.3524 -7.9506 -5.4678 Hg
-1.1569 -4.7238 -3.7601 K
-1.0888 -1.2836 -2.1424 Cu
```

For the energy above the most stable polymorph in this dataset, the calculation gives 5.8 kJ/mol of atoms. The calculation puts the electronic total energy at -5.868 eV for the cell shown.

# 5
Crystalline Sc2As at its relaxed geometry, computed with PBE-GGA.

POSCAR file:
```
Sc2As
1.0
2.4133 -4.1800 0.0000
2.4133 4.1800 0.0000
0.0000 0.0000 2.9280
Sc As
2 1
Cartesian
2.4133 1.3933 0.0000 Sc
2.4133 -1.3933 0.0000 Sc
0.0000 0.0000 1.4640 As
```

The calculation puts the electronic total energy at -17.466 eV for the cell shown.

# 6
Crystalline IrO4 at its relaxed geometry, computed with PBE-GGA.

POSCAR file:
```
IrO4
1.0
-2.5383 1.5702 2.3738
-2.8447 -1.3012 -2.1812
-0.0881 -3.2225 2.0374
O Ir
4 1
Cartesian
-2.6915 0.1345 0.0963 O
-1.4664 -2.2619 -0.0719 O
0.0000 0.0000 0.0000 O
-1.3132 -0.8262 2.2056 O
-2.7356 -1.4768 1.1150 Ir
```

For the uncorrected formation energy, the calculation gives 0.32 eV per atom. The calculation puts the electronic total energy at -27.103 eV for the cell shown.